(1)
# Y5Ho3Er4

Y5Ho3Er4 after structural relaxation (GGA-PBE, the Alexandria database).

calculated formation energy = 0.246 eV/atom
crystal system = monoclinic
VASP energy = -5.112 eV per atom
magnetization = 0.6 μB per cell
energy above the most stable polymorph in this dataset = 221 meV/atom

Geometry as POSCAR:
```
Y5Ho3Er4
1.0
8.030 -2.915 0.000
8.030 2.915 0.000
-4.123 0.000 8.239
Y Ho Er
5 3 4
direct
0.000 0.000 0.000
0.327 0.327 0.614
0.425 0.425 0.297
0.575 0.575 0.703
0.673 0.673 0.386
0.209 0.209 0.230
0.500 0.500 0.000
0.791 0.791 0.770
0.081 0.081 0.440
0.214 0.214 0.878
0.786 0.786 0.122
0.919 0.919 0.560
```

(2)
# CdFe2Re

CdFe2Re after structural relaxation (GGA-PBE, the Alexandria database).

calculated formation energy = 0.572 eV/atom
crystal system = tetragonal
VASP energy = -7.000 eV per atom
magnetization = 4.0 μB per cell

Geometry as POSCAR:
```
CdFe2Re
1.0
-1.909 1.909 3.910
1.909 -1.909 3.910
1.909 1.909 -3.910
Cd Fe Re
1 2 1
direct
0.000 0.000 0.000
0.250 0.750 0.500
0.500 0.500 0.000
0.750 0.250 0.500
```

(3)
# La3NdTlFe

La3NdTlFe after structural relaxation (GGA-PBE, the Alexandria database).

calculated formation energy = -0.142 eV/atom
crystal system = monoclinic
VASP energy = -5.205 eV per atom
magnetization = 0.0 μB per cell

Geometry as POSCAR:
```
La3NdTlFe
1.0
8.601 -3.626 0.000
8.601 3.626 0.000
-2.141 0.000 5.762
La Nd Tl Fe
6 2 2 2
direct
0.125 0.639 0.894
0.310 0.310 0.297
0.361 0.875 0.106
0.639 0.125 0.894
0.690 0.690 0.703
0.875 0.361 0.106
0.236 0.764 0.500
0.764 0.236 0.500
0.192 0.192 0.690
0.808 0.808 0.310
0.475 0.475 0.150
0.525 0.525 0.850
```